P) DFT (PBE) results for an optimized crystal structure of ErCuSnSe3.

a = 13.5481 Å, b = 4.0064 Å, c = 10.7477 Å
α = 90.00°, β = 90.00°, γ = 90.00°
Space group Pnma (No. 62)
Symmetry-distinct sites (fractional):
Er 0.0142 0.2500 0.1714
Cu 0.0086 0.7500 0.4160
Sn 0.2188 0.2500 0.4586
Se 0.1055 0.7500 0.6158
Se 0.1098 0.2500 0.9359
Se 0.1449 0.7500 0.2587


Q) DFT (PBE) results for an optimized crystal structure of ErCuSnSe3.

a = 11.3857 Å, b = 4.1641 Å, c = 11.6832 Å
α = 90.00°, β = 90.00°, γ = 90.00°
Space group Pnma (No. 62)
Symmetry-distinct sites (fractional):
Er 0.0172 0.2500 0.1848
Cu 0.2421 0.7500 0.2999
Sn 0.1828 0.2500 0.4998
Se 0.0369 0.7500 0.3597
Se 0.0983 0.2500 0.9378
Se 0.2260 0.7500 0.6873


R) DFT (PBE) results for an optimized crystal structure of ErCuSnSe3.

a = 4.0061 Å, b = 13.4653 Å, c = 10.4832 Å
α = 90.00°, β = 90.00°, γ = 90.00°
Space group Cmcm (No. 63)
Symmetry-distinct sites (fractional):
Er 0.0000 0.0000 0.0000
Cu 0.0000 0.4684 0.2500
Sn 0.0000 0.2392 0.7500
Se 0.0000 0.0815 0.2500
Se 0.0000 0.3575 0.0641


S) DFT (PBE) results for an optimized crystal structure of ErCuSnSe3.

a = 7.8073 Å, b = 3.9812 Å, c = 9.8248 Å
α = 90.00°, β = 105.96°, γ = 90.00°
Space group P2_1/m (No. 11)
Symmetry-distinct sites (fractional):
Er 0.1881 0.2500 0.1617
Cu 0.4230 0.7500 0.4130
Sn 0.2630 0.7500 0.6982
Se 0.0775 0.2500 0.8588
Se 0.2431 0.2500 0.4587
Se 0.4469 0.7500 0.1672


It is R) that is the most stable of them.


P) DFT (PBE) results for an optimized crystal structure of TbEr2Cu4Si2Sn2.

a = 4.3023 Å, b = 6.6268 Å, c = 14.3152 Å
α = 90.00°, β = 90.00°, γ = 90.00°
Space group Immm (No. 71)
Symmetry-distinct sites (fractional):
Tb 0.0000 0.0000 0.0000
Er 0.0000 0.5000 0.1232
Cu 0.0000 0.3092 0.3459
Si 0.0000 0.1813 0.5000
Sn 0.0000 0.0000 0.2189


Q) DFT (PBE) results for an optimized crystal structure of TbEr2Cu4Si2Sn2.

a = 4.2039 Å, b = 6.8794 Å, c = 14.1424 Å
α = 90.00°, β = 90.00°, γ = 90.00°
Space group Immm (No. 71)
Symmetry-distinct sites (fractional):
Tb 0.0000 0.0000 0.0000
Er 0.0000 0.5000 0.1356
Cu 0.0000 0.3114 0.3189
Si 0.0000 0.0000 0.2168
Sn 0.0000 0.2013 0.5000


It is P) that is the most stable of them.


P) DFT (PBE) results for an optimized crystal structure of YErCu2.

a = 4.4744 Å, b = 3.6747 Å, c = 10.2897 Å
α = 90.00°, β = 90.00°, γ = 90.00°
Space group Amm2 (No. 38)
Symmetry-distinct sites (fractional):
Y 0.0000 0.0000 0.0000
Er 0.5000 0.0000 0.7197
Cu 0.0000 0.0000 0.2850
Cu 0.5000 0.0000 0.4317


Q) DFT (PBE) results for an optimized crystal structure of YErCu2.

a = 4.4293 Å, b = 5.3863 Å, c = 7.1082 Å
α = 90.00°, β = 90.00°, γ = 90.00°
Space group Pmc2_1 (No. 26)
Symmetry-distinct sites (fractional):
Y 0.0000 0.1180 0.0000
Er 0.5000 0.3824 0.3618
Cu 0.0000 0.3777 0.6461
Cu 0.5000 0.1267 0.7144


It is Q) that is the most stable of them.


P) DFT (PBE) results for an optimized crystal structure of K2CuPdF6.

a = 5.7356 Å, b = 5.7356 Å, c = 14.1134 Å
α = 90.00°, β = 90.00°, γ = 120.00°
Space group R-3 (No. 148, hexagonal axes)
Symmetry-distinct sites (fractional):
K 0.0000 0.0000 0.2501
Cu 0.0000 0.0000 0.0000
Pd 0.0000 0.0000 0.5000
F 0.0092 0.5056 0.7474


Q) DFT (PBE) results for an optimized crystal structure of K2CuPdF6.

a = 5.7719 Å, b = 5.7719 Å, c = 14.1187 Å
α = 90.00°, β = 90.00°, γ = 120.00°
Space group R-3m (No. 166, hexagonal axes)
Symmetry-distinct sites (fractional):
K 0.0000 0.0000 0.2500
Cu 0.0000 0.0000 0.0000
Pd 0.0000 0.0000 0.5000
F 0.0092 0.5046 0.7473


R) DFT (PBE) results for an optimized crystal structure of K2CuPdF6.

a = 5.5406 Å, b = 5.8484 Å, c = 9.6811 Å
α = 90.00°, β = 124.05°, γ = 90.00°
Space group P2_1/c (No. 14)
Symmetry-distinct sites (fractional):
K 0.2413 0.0278 0.2485
Cu 0.0000 0.0000 0.5000
Pd 0.5000 0.0000 0.0000
F 0.1903 0.2270 0.9794
F 0.2585 0.7086 0.9807
F 0.2784 0.5008 0.2431


It is Q) that is the most stable of them.


P) DFT (PBE) results for an optimized crystal structure of K2TlCuF6.

a = 10.2787 Å, b = 5.9560 Å, c = 6.0244 Å
α = 90.00°, β = 125.05°, γ = 90.00°
Space group C2/m (No. 12)
Symmetry-distinct sites (fractional):
K 0.2476 0.0000 0.2388
Tl 0.0000 0.0000 0.5000
Cu 0.0000 0.5000 0.0000
F 0.0390 0.2629 0.8049
F 0.2346 0.5000 0.3062


Q) DFT (PBE) results for an optimized crystal structure of K2TlCuF6.

a = 5.9454 Å, b = 5.9454 Å, c = 14.6197 Å
α = 90.00°, β = 90.00°, γ = 120.00°
Space group R-3 (No. 148, hexagonal axes)
Symmetry-distinct sites (fractional):
K 0.0000 0.0000 0.2500
Tl 0.0000 0.0000 0.0000
Cu 0.0000 0.0000 0.5000
F 0.0191 0.5108 0.2455


R) DFT (PBE) results for an optimized crystal structure of K2TlCuF6.

a = 8.5018 Å, b = 8.5018 Å, c = 8.5018 Å
α = 90.00°, β = 90.00°, γ = 90.00°
Space group Fm-3m (No. 225)
Symmetry-distinct sites (fractional):
K 0.2500 0.2500 0.2500
Tl 0.0000 0.0000 0.0000
Cu 0.0000 0.0000 0.5000
F 0.0000 0.0000 0.2643


It is P) that is the most stable of them.


P) DFT (PBE) results for an optimized crystal structure of LiCuF3.

a = 3.3981 Å, b = 3.3981 Å, c = 10.9019 Å
α = 90.00°, β = 90.00°, γ = 120.00°
Space group P6_3/mmc (No. 194)
Symmetry-distinct sites (fractional):
Li 0.0000 0.0000 0.0000
Cu 0.3333 0.6667 0.2500
F 0.0000 0.0000 0.2500
F 0.3333 0.6667 0.0792


Q) DFT (PBE) results for an optimized crystal structure of LiCuF3.

a = 3.8716 Å, b = 3.8716 Å, c = 3.8533 Å
α = 90.00°, β = 90.00°, γ = 90.00°
Space group P4/mmm (No. 123)
Symmetry-distinct sites (fractional):
Li 0.0000 0.0000 0.0000
Cu 0.5000 0.5000 0.5000
F 0.0000 0.5000 0.5000
F 0.5000 0.5000 0.0000


It is P) that is the most stable of them.


P) DFT (PBE) results for an optimized crystal structure of Na2CuF4.

a = 3.2367 Å, b = 5.4934 Å, c = 9.4275 Å
α = 90.00°, β = 92.02°, γ = 90.00°
Space group P2_1/c (No. 14)
Symmetry-distinct sites (fractional):
Na 0.2294 0.0432 0.1536
Cu 0.5000 0.0000 0.5000
F 0.2676 0.2114 0.9215
F 0.2692 0.6796 0.8453


Q) DFT (PBE) results for an optimized crystal structure of Na2CuF4.

a = 4.2222 Å, b = 10.6725 Å, c = 3.6383 Å
α = 90.00°, β = 90.00°, γ = 90.00°
Space group Cmmm (No. 65)
Symmetry-distinct sites (fractional):
Na 0.0000 0.1519 0.0000
Cu 0.0000 0.5000 0.5000
F 0.0000 0.0000 0.5000
F 0.0000 0.3162 0.5000
F 0.0000 0.5000 0.0000


It is P) that is the most stable of them.